VASP calculation (PBE-GGA) on a relaxed FeIr2Os crystal.

a b c (Å): 8.866 8.866 8.866
angles (deg): 17.64 17.64 17.64
Positions (direct):
Fe  0.250  0.250  0.250
Ir  0.997  0.997  0.997
Ir  0.751  0.751  0.751
Os  0.502  0.502  0.502

Output
density of states at the Fermi level = 1.493 states/eV/atom
formation energy from the elements = 0.077 eV per atom
ρ = 18.744 Mg/m³
SG = R3m